Entry 1:
{"formula": "Rb2CuBi2", "functional": "PBE", "state": "relaxed", "lattice": [[7.472, 0.000, 0.000], [0.000, 7.472, 0.000], [0.000, 0.000, 6.252]], "species": ["Rb", "Rb", "Rb", "Rb", "Cu", "Cu", "Bi", "Bi", "Bi", "Bi"], "fractional_positions": [[0.666, 0.834, 0.500], [0.334, 0.166, 0.500], [0.166, 0.666, 0.500], [0.834, 0.334, 0.500], [0.000, 0.000, 0.000], [0.500, 0.500, 0.000], [0.153, 0.347, 0.000], [0.653, 0.153, 0.000], [0.347, 0.847, 0.000], [0.847, 0.653, 0.000]], "magnetic_moment_mub_per_fu": 0.00, "formation_energy_ev_per_atom": -0.09, "crystal_system": "tetragonal"}

---

Entry 2:
{"formula": "CaHoCdAg", "functional": "PBE", "state": "relaxed", "lattice": [[-2.027, 1.736, -2.547], [-1.575, -3.204, -0.930], [-5.433, 1.183, 5.131]], "species": ["Ho", "Ag", "Cd", "Ca"], "fractional_positions": [[0.000, 0.000, 0.844], [0.500, 0.500, 0.626], [0.500, 0.500, 0.093], [0.000, 0.000, 0.366]], "magnetic_moment_mub_per_fu": 0.00, "formation_energy_ev_per_atom": -0.32, "crystal_system": "tetragonal"}

---

Entry 3:
{"formula": "TaGaReRu", "functional": "PBE", "state": "relaxed", "lattice": [[4.427, 0.000, 0.000], [2.213, 3.834, 0.000], [2.213, 1.278, 3.614]], "species": ["Re", "Ga", "Ru", "Ta"], "fractional_positions": [[0.250, 0.250, 0.250], [0.000, 0.000, 0.000], [0.750, 0.750, 0.750], [0.500, 0.500, 0.500]], "magnetic_moment_mub_per_fu": 0.00, "formation_energy_ev_per_atom": -0.26, "crystal_system": "cubic"}

---

Record order is preserved below.
Final energy: -2.8529; -2.9093; -9.4122 eV/atom